# 1
This record from the Alexandria database describes a geometry-optimized LiGePtW2 structure. The functional is PBEsol.

Values from the calculation:
Symmetry = No. 123
Raw total energy = -7.042 eV per atom
Calculated formation energy = 1.255 eV per atom

abc: 4.2050 4.2050 4.1472
angles: 90.00 90.00 90.00
Closest atoms and distances in Å follow each position.
Sites, in units of the cell vectors:
Li 0.0000 0.0000 0.0000  2 Pt 2.07, 4 W 2.10
Ge 0.5000 0.5000 0.5000  8 W 2.95, 4 Pt 2.97
Pt 0.0000 0.0000 0.5000  2 Li 2.07
W 0.0000 0.5000 0.0000  2 Li 2.10
W 0.5000 0.0000 0.0000  2 Li 2.10

---

# 2
This record from the Alexandria database describes a geometry-optimized RbLi3Ge structure. The functional is PBEsol.

Values from the calculation:
Symmetry = No. 221
Raw total energy = -2.548 eV per atom
Calculated formation energy = -0.175 eV per atom

abc: 5.0636 5.0636 5.0636
angles: 90.00 90.00 90.00
Closest atoms and distances in Å follow each position.
Sites, in units of the cell vectors:
Rb 0.0000 0.0000 0.0000  12 Li 3.58
Li 0.0000 0.5000 0.5000  2 Ge 2.53
Li 0.5000 0.0000 0.5000  2 Ge 2.53
Li 0.5000 0.5000 0.0000  2 Ge 2.53
Ge 0.5000 0.5000 0.5000  6 Li 2.53

---

# 3
This record from the Alexandria database describes a geometry-optimized RbLiGe3 structure. The functional is PBEsol.

Values from the calculation:
Symmetry = No. 221
Raw total energy = -3.226 eV per atom
Calculated formation energy = 0.335 eV per atom

abc: 4.8406 4.8406 4.8406
angles: 90.00 90.00 90.00
Closest atoms and distances in Å follow each position.
Sites, in units of the cell vectors:
Rb 0.0000 0.0000 0.0000  12 Ge 3.42
Li 0.5000 0.5000 0.5000  6 Ge 2.42
Ge 0.0000 0.5000 0.5000  2 Li 2.42
Ge 0.5000 0.0000 0.5000  2 Li 2.42
Ge 0.5000 0.5000 0.0000  2 Li 2.42

---

# 4
This record from the Alexandria database describes a geometry-optimized LiRe3Ge structure. The functional is PBEsol.

Values from the calculation:
Symmetry = No. 221
Raw total energy = -7.464 eV per atom
Calculated formation energy = 1.916 eV per atom

abc: 4.5270 4.5270 4.5270
angles: 90.00 90.00 90.00
Closest atoms and distances in Å follow each position.
Sites, in units of the cell vectors:
Li 0.0000 0.0000 0.0000  12 Re 3.20
Re 0.0000 0.5000 0.5000  2 Ge 2.26
Re 0.5000 0.0000 0.5000  2 Ge 2.26
Re 0.5000 0.5000 0.0000  2 Ge 2.26
Ge 0.5000 0.5000 0.5000  6 Re 2.26